[1]
VASP calculation (PBE) on NbTlO3 after structural relaxation.

a = 4.0317 Å, b = 4.0317 Å, c = 4.2179 Å
α = 90.00°, β = 90.00°, γ = 90.00°
Space group P4mm (No. 99)
One atom of each set of equivalent atoms:
Nb  0.0000  0.0000  0.0000
Tl  0.5000  0.5000  0.4845
O  0.0000  0.0000  0.4412
O  0.0000  0.5000  0.9493

**E_tot**: -7.4272 eV per atom
**Spin magnetization**: 0.00 μB/cell

---

[2]
VASP calculation (PBE) on NbTlO3 after structural relaxation.

a = 5.5205 Å, b = 5.5205 Å, c = 18.1554 Å
α = 90.00°, β = 90.00°, γ = 120.00°
Space group R-3 (No. 148, hexagonal axes)
One atom of each set of equivalent atoms:
Nb  0.0000  0.0000  0.1548
Tl  0.0000  0.0000  0.3654
O  0.0077  0.5707  0.4349

**E_tot**: -7.4921 eV per atom
**Spin magnetization**: 0.00 μB/cell

---

[3]
VASP calculation (PBE) on NbTlO3 after structural relaxation.

a = 6.5145 Å, b = 6.5145 Å, c = 12.6971 Å
α = 90.00°, β = 90.00°, γ = 120.00°
Space group R-3c (No. 167, hexagonal axes)
One atom of each set of equivalent atoms:
Nb  0.0000  0.0000  0.2500
Tl  0.0000  0.0000  0.0000
O  0.0000  0.2837  0.2500

**E_tot**: -6.8465 eV per atom
**Spin magnetization**: 0.00 μB/cell

---

[4]
VASP calculation (PBE) on NbTlO3 after structural relaxation.

a = 4.0716 Å, b = 4.0716 Å, c = 4.0716 Å
α = 90.00°, β = 90.00°, γ = 90.00°
Space group Pm-3m (No. 221)
One atom of each set of equivalent atoms:
Nb  0.0000  0.0000  0.0000
Tl  0.5000  0.5000  0.5000
O  0.0000  0.0000  0.5000

**E_tot**: -7.4071 eV per atom
**Spin magnetization**: 0.00 μB/cell

---

[5]
VASP calculation (PBE) on Nb2Tl2O5 after structural relaxation.

a = 3.5226 Å, b = 3.5226 Å, c = 10.1744 Å
α = 90.00°, β = 90.00°, γ = 90.00°
Space group P4/mmm (No. 123)
One atom of each set of equivalent atoms:
Nb  0.0000  0.0000  0.0000
Nb  0.0000  0.0000  0.5000
Tl  0.5000  0.5000  0.2390
O  0.0000  0.5000  0.3836
O  0.5000  0.5000  0.0000

**E_tot**: -6.4171 eV per atom
**Spin magnetization**: 2.99 μB/cell

---

[6]
VASP calculation (PBE) on NbTlO3 after structural relaxation.

a = 5.4009 Å, b = 5.4009 Å, c = 13.4372 Å
α = 90.00°, β = 90.00°, γ = 120.00°
Space group P-31c (No. 163)
One atom of each set of equivalent atoms:
Nb  0.0000  0.0000  0.2500
Nb  0.3333  0.6667  0.2500
Tl  0.3333  0.6667  0.5567
O  0.0622  0.3334  0.1649

**E_tot**: -7.5051 eV per atom
**Spin magnetization**: 0.00 μB/cell

---

[7]
VASP calculation (PBE) on NbTlO3 after structural relaxation.

a = 5.7526 Å, b = 5.7526 Å, c = 14.0841 Å
α = 90.00°, β = 90.00°, γ = 120.00°
Space group R-3c (No. 167, hexagonal axes)
One atom of each set of equivalent atoms:
Nb  0.0000  0.0000  0.0000
Tl  0.0000  0.0000  0.2500
O  0.0000  0.4983  0.2500

**E_tot**: -7.4058 eV per atom
**Spin magnetization**: 0.00 μB/cell

---

[8]
VASP calculation (PBE) on NbTlO3 after structural relaxation.

a = 5.7654 Å, b = 8.1482 Å, c = 5.7552 Å
α = 90.00°, β = 90.00°, γ = 90.00°
Space group Pnma (No. 62)
One atom of each set of equivalent atoms:
Nb  0.0000  0.0000  0.0000
Tl  0.0006  0.2500  0.5004
O  0.0005  0.2500  0.0023
O  0.2492  0.0012  0.7493

**E_tot**: -7.4078 eV per atom
**Spin magnetization**: 0.00 μB/cell

---

[9]
VASP calculation (PBE) on Tm2NbO4 after structural relaxation.

a = 9.3312 Å, b = 9.3312 Å, c = 9.3312 Å
α = 90.00°, β = 90.00°, γ = 90.00°
Space group Fd-3m (No. 227, origin choice 2)
One atom of each set of equivalent atoms:
Tm  0.0000  0.0000  0.0000
Nb  0.1250  0.1250  0.6250
O  0.0114  0.0114  0.2386

**E_tot**: -8.1958 eV per atom
**Spin magnetization**: 23.92 μB/cell

---

[10]
VASP calculation (PBE) on TmNbO4 after structural relaxation.

a = 7.1549 Å, b = 7.1549 Å, c = 6.5906 Å
α = 90.00°, β = 90.00°, γ = 90.00°
Space group I4_1/amd (No. 141, origin choice 2)
One atom of each set of equivalent atoms:
Tm  0.0000  0.2500  0.3750
Nb  0.0000  0.2500  0.8750
O  0.0000  0.0547  0.6890

**E_tot**: -8.7538 eV per atom
**Spin magnetization**: 0.00 μB/cell

---

[11]
VASP calculation (PBE) on Tm2Nb2O5 after structural relaxation.

a = 3.4932 Å, b = 3.4932 Å, c = 9.6630 Å
α = 90.00°, β = 90.00°, γ = 90.00°
Space group P4/mmm (No. 123)
One atom of each set of equivalent atoms:
Tm  0.0000  0.0000  0.2372
Nb  0.5000  0.5000  0.0000
Nb  0.5000  0.5000  0.5000
O  0.0000  0.0000  0.0000
O  0.0000  0.5000  0.3737

**E_tot**: -8.2219 eV per atom
**Spin magnetization**: 0.16 μB/cell

---

[12]
VASP calculation (PBE) on Tm2Nb2O5 after structural relaxation.

a = 4.0146 Å, b = 4.0146 Å, c = 6.9426 Å
α = 90.00°, β = 90.00°, γ = 90.00°
Space group P4/mmm (No. 123)
One atom of each set of equivalent atoms:
Tm  0.0000  0.0000  0.0000
Tm  0.0000  0.0000  0.5000
Nb  0.5000  0.5000  0.1917
O  0.0000  0.5000  0.2532
O  0.5000  0.5000  0.5000

**E_tot**: -8.2408 eV per atom
**Spin magnetization**: 0.00 μB/cell

---

The highest spin magnetization belongs to which entry?
Tm2NbO4